# 1
# GGA-PBE ZrNbC3, relaxed
# formation energy from the elements	1265	meV per atom
# calculated density	5.33	Mg/m³
# electronic total energy	-7.993	eV per atom
# calculated volume	69	Å³/cell
# distance to the lowest polymorph of the same formula	0.0	meV per atom
# total magnetic moment	0.000	μB per atom
data_ZrNbC3
_space_group_name_H-M_alt 'P m -3 m'
_space_group_IT_number 221
_space_group_name_Hall '-P 4 2 3'
_cell_length_a 4.094
_cell_length_b 4.094
_cell_length_c 4.094
_cell_angle_alpha 90.00
_cell_angle_beta 90.00
_cell_angle_gamma 90.00
loop_
_atom_site_label
_atom_site_type_symbol
_atom_site_fract_x
_atom_site_fract_y
_atom_site_fract_z
Zr1 Zr 0.000 0.000 0.000
Nb1 Nb 0.500 0.500 0.500
C1 C 0.000 0.500 0.500



# 2
# GGA-PBE Zr2NbC3, relaxed
# formation energy from the elements	-699	meV per atom
# calculated density	6.88	Mg/m³
# electronic total energy	-9.839	eV per atom
# calculated volume	301	Å³/cell
# total magnetic moment	0.000	μB per atom
data_Zr2NbC3
_space_group_name_H-M_alt 'P n m a'
_space_group_IT_number 62
_cell_length_a 6.572
_cell_length_b 4.649
_cell_length_c 9.847
_cell_angle_alpha 90.00
_cell_angle_beta 90.00
_cell_angle_gamma 90.00
loop_
_space_group_symop_operation_xyz
'x,y,z'
'-x,-y,-z'
'-x+1/2,-y,z+1/2'
'x+1/2,y,-z+1/2'
'x+1/2,-y+1/2,-z+1/2'
'-x+1/2,y+1/2,z+1/2'
'-x,y+1/2,-z'
'x,-y+1/2,z'
loop_
_atom_site_label
_atom_site_type_symbol
_atom_site_fract_x
_atom_site_fract_y
_atom_site_fract_z
Zr1 Zr 0.124 0.250 0.249
Zr2 Zr 0.127 0.250 0.917
Nb1 Nb 0.123 0.250 0.584
C1 C 0.120 0.750 0.581
C2 C 0.124 0.750 0.251
C3 C 0.131 0.750 0.919



# 3
# GGA-PBE ZrNbC2, relaxed
# formation energy from the elements	-666	meV per atom
# calculated density	7.07	Mg/m³
# electronic total energy	-9.933	eV per atom
# calculated volume	147	Å³/cell
# distance to the lowest polymorph of the same formula	0.0	meV per atom
# total magnetic moment	0.000	μB per atom
data_ZrNbC2
_space_group_name_H-M_alt 'R -3 m'
_space_group_IT_number 166
_space_group_name_Hall '-R 3 2"'
_cell_length_a 3.2531
_cell_length_b 3.2531
_cell_length_c 16.0069
_cell_angle_alpha 90.00
_cell_angle_beta 90.00
_cell_angle_gamma 120.00
loop_
_atom_site_label
_atom_site_type_symbol
_atom_site_fract_x
_atom_site_fract_y
_atom_site_fract_z
Zr1 Zr 0.0000 0.0000 0.0000
Nb1 Nb 0.0000 0.0000 0.5000
C1 C 0.0000 0.0000 0.2462



# 4
# GGA-PBE ZrNbC2, relaxed
# formation energy from the elements	-85	meV per atom
# calculated density	5.59	Mg/m³
# electronic total energy	-9.351	eV per atom
# calculated volume	247	Å³/cell
# distance to the lowest polymorph of the same formula	581.6	meV per atom
# total magnetic moment	0.000	μB per atom
data_ZrNbC2
_space_group_name_H-M_alt 'I -4 2 d'
_space_group_IT_number 122
_space_group_name_Hall 'I -4 2bw'
_cell_length_a 4.992
_cell_length_b 4.992
_cell_length_c 9.920
_cell_angle_alpha 90.00
_cell_angle_beta 90.00
_cell_angle_gamma 90.00
loop_
_atom_site_label
_atom_site_type_symbol
_atom_site_fract_x
_atom_site_fract_y
_atom_site_fract_z
Zr1 Zr 0.000 0.000 0.000
Nb1 Nb 0.000 0.000 0.500
C1 C 0.229 0.250 0.625



# 5
# GGA-PBE ZrNb5C6, relaxed
# formation energy from the elements	-537	meV per atom
# calculated density	7.43	Mg/m³
# electronic total energy	-10.057	eV per atom
# calculated volume	280	Å³/cell
# total magnetic moment	0.000	μB per atom
data_ZrNb5C6
_space_group_name_H-M_alt 'C 1 2/m 1'
_space_group_IT_number 12
_cell_length_a 5.558
_cell_length_b 9.637
_cell_length_c 5.560
_cell_angle_alpha 90.00
_cell_angle_beta 109.63
_cell_angle_gamma 90.00
loop_
_space_group_symop_operation_xyz
'x,y,z'
'-x,-y,-z'
'-x,y,-z'
'x,-y,z'
'x+1/2,y+1/2,z'
'-x+1/2,-y+1/2,-z'
'-x+1/2,y+1/2,-z'
'x+1/2,-y+1/2,z'
loop_
_atom_site_label
_atom_site_type_symbol
_atom_site_fract_x
_atom_site_fract_y
_atom_site_fract_z
Zr1 Zr 0.000 0.000 0.000
Nb1 Nb 0.000 0.166 0.500
Nb2 Nb 0.000 0.333 0.000
Nb3 Nb 0.000 0.500 0.500
C1 C 0.246 0.331 0.745
C2 C 0.246 0.500 0.251



# 6
# GGA-PBE Zr5NbC5, relaxed
# formation energy from the elements	-706	meV per atom
# calculated density	6.59	Mg/m³
# electronic total energy	-9.700	eV per atom
# calculated volume	307	Å³/cell
# total magnetic moment	0.000	μB per atom
data_Zr5NbC5
_space_group_name_H-M_alt 'C 1 2/m 1'
_space_group_IT_number 12
_cell_length_a 10.432
_cell_length_b 4.683
_cell_length_c 6.631
_cell_angle_alpha 90.00
_cell_angle_beta 108.50
_cell_angle_gamma 90.00
loop_
_space_group_symop_operation_xyz
'x,y,z'
'-x,-y,-z'
'-x,y,-z'
'x,-y,z'
'x+1/2,y+1/2,z'
'-x+1/2,-y+1/2,-z'
'-x+1/2,y+1/2,-z'
'x+1/2,-y+1/2,z'
loop_
_atom_site_label
_atom_site_type_symbol
_atom_site_fract_x
_atom_site_fract_y
_atom_site_fract_z
Zr1 Zr 0.000 0.000 0.000
Zr2 Zr 0.170 0.500 0.344
Zr3 Zr 0.175 0.500 0.829
Nb1 Nb 0.000 0.000 0.500
C1 C 0.000 0.500 0.500
C2 C 0.164 0.000 0.830
C3 C 0.166 0.000 0.336



# 7
# GGA-PBE ZrNb5C4, relaxed
# formation energy from the elements	-508	meV per atom
# calculated density	7.33	Mg/m³
# electronic total energy	-10.088	eV per atom
# calculated volume	274	Å³/cell
# total magnetic moment	0.000	μB per atom
data_ZrNb5C4
_space_group_name_H-M_alt 'C 1 2/m 1'
_space_group_IT_number 12
_cell_length_a 13.876
_cell_length_b 3.183
_cell_length_c 6.403
_cell_angle_alpha 90.00
_cell_angle_beta 104.62
_cell_angle_gamma 90.00
loop_
_space_group_symop_operation_xyz
'x,y,z'
'-x,-y,-z'
'-x,y,-z'
'x,-y,z'
'x+1/2,y+1/2,z'
'-x+1/2,-y+1/2,-z'
'-x+1/2,y+1/2,-z'
'x+1/2,-y+1/2,z'
loop_
_atom_site_label
_atom_site_type_symbol
_atom_site_fract_x
_atom_site_fract_y
_atom_site_fract_z
Zr1 Zr 0.000 0.000 0.000
Nb1 Nb 0.000 0.000 0.500
Nb2 Nb 0.165 0.500 0.847
Nb3 Nb 0.169 0.500 0.326
C1 C 0.005 0.500 0.263
C2 C 0.171 0.000 0.090



# 8
# GGA-PBE ZrNb2C3, relaxed
# formation energy from the elements	-600	meV per atom
# calculated density	7.25	Mg/m³
# electronic total energy	-9.993	eV per atom
# calculated volume	143	Å³/cell
# total magnetic moment	0.000	μB per atom
data_ZrNb2C3
_space_group_name_H-M_alt 'I m m m'
_space_group_IT_number 71
_space_group_name_Hall '-I 2 2'
_cell_length_a 3.226
_cell_length_b 4.585
_cell_length_c 9.691
_cell_angle_alpha 90.00
_cell_angle_beta 90.00
_cell_angle_gamma 90.00
loop_
_atom_site_label
_atom_site_type_symbol
_atom_site_fract_x
_atom_site_fract_y
_atom_site_fract_z
Zr1 Zr 0.000 0.000 0.000
Nb1 Nb 0.000 0.000 0.335
C1 C 0.000 0.500 0.000
C2 C 0.000 0.500 0.329



# 9
# GGA-PBE ZrNbC2, relaxed
# formation energy from the elements	-407	meV per atom
# calculated density	6.89	Mg/m³
# electronic total energy	-9.673	eV per atom
# calculated volume	151	Å³/cell
# distance to the lowest polymorph of the same formula	259.5	meV per atom
# total magnetic moment	0.000	μB per atom
data_ZrNbC2
_space_group_name_H-M_alt 'R 3 m'
_space_group_IT_number 160
_space_group_name_Hall 'R 3 -2"'
_cell_length_a 3.2156
_cell_length_b 3.2156
_cell_length_c 16.8186
_cell_angle_alpha 90.00
_cell_angle_beta 90.00
_cell_angle_gamma 120.00
loop_
_atom_site_label
_atom_site_type_symbol
_atom_site_fract_x
_atom_site_fract_y
_atom_site_fract_z
Zr1 Zr 0.0000 0.0000 0.0000
Nb1 Nb 0.0000 0.0000 0.1753
C1 C 0.0000 0.0000 0.4260
C2 C 0.0000 0.0000 0.5873



# 10
# GGA-PBE ZrNbC2, relaxed
# formation energy from the elements	-190	meV per atom
# calculated density	6.69	Mg/m³
# electronic total energy	-9.456	eV per atom
# calculated volume	52	Å³/cell
# distance to the lowest polymorph of the same formula	476.6	meV per atom
# total magnetic moment	0.000	μB per atom
data_ZrNbC2
_space_group_name_H-M_alt 'P -3 m 1'
_space_group_IT_number 164
_space_group_name_Hall '-P 3 2"'
_cell_length_a 3.2371
_cell_length_b 3.2371
_cell_length_c 5.6967
_cell_angle_alpha 90.00
_cell_angle_beta 90.00
_cell_angle_gamma 120.00
loop_
_atom_site_label
_atom_site_type_symbol
_atom_site_fract_x
_atom_site_fract_y
_atom_site_fract_z
Zr1 Zr 0.0000 0.0000 0.0000
Nb1 Nb 0.0000 0.0000 0.5000
C1 C 0.3333 0.6667 0.7371



# 11
# GGA-PBE ZrNbC2, relaxed
# formation energy from the elements	-577	meV per atom
# calculated density	7.07	Mg/m³
# electronic total energy	-9.844	eV per atom
# calculated volume	98	Å³/cell
# distance to the lowest polymorph of the same formula	89.0	meV per atom
# total magnetic moment	0.000	μB per atom
data_ZrNbC2
_space_group_name_H-M_alt 'P 63/m m c'
_space_group_IT_number 194
_space_group_name_Hall '-P 6c 2c'
_cell_length_a 3.2323
_cell_length_b 3.2323
_cell_length_c 10.8031
_cell_angle_alpha 90.00
_cell_angle_beta 90.00
_cell_angle_gamma 120.00
loop_
_atom_site_label
_atom_site_type_symbol
_atom_site_fract_x
_atom_site_fract_y
_atom_site_fract_z
Zr1 Zr 0.3333 0.6667 0.2500
Nb1 Nb 0.0000 0.0000 0.0000
C1 C 0.3333 0.6667 0.6169



# 12
# GGA-PBE ZrNbC2, relaxed
# formation energy from the elements	471	meV per atom
# calculated density	7.31	Mg/m³
# electronic total energy	-8.795	eV per atom
# calculated volume	189	Å³/cell
# distance to the lowest polymorph of the same formula	1137.3	meV per atom
# total magnetic moment	0.000	μB per atom
data_ZrNbC2
_space_group_name_H-M_alt 'F m -3 m'
_space_group_IT_number 225
_space_group_name_Hall '-F 4 2 3'
_cell_length_a 5.741
_cell_length_b 5.741
_cell_length_c 5.741
_cell_angle_alpha 90.00
_cell_angle_beta 90.00
_cell_angle_gamma 90.00
loop_
_atom_site_label
_atom_site_type_symbol
_atom_site_fract_x
_atom_site_fract_y
_atom_site_fract_z
Zr1 Zr 0.000 0.000 0.000
Nb1 Nb 0.000 0.000 0.500
C1 C 0.250 0.250 0.250



Among the records above, which one has the lowest calculated volume?
number 10